K2TcRh after structural relaxation. Source: Alexandria via LeMat-Bulk, functional PBE.

Lattice parameters (Å, degrees): 3.8861 3.8861 5.6446 90.00 90.00 90.00
Closest atoms and distances in Å follow each position.
Element x y z (fractional)
K: 0.0000 0.0000 0.0000  4 K 2.75
K: 0.5000 0.5000 0.0000  4 K 2.75
Tc: 0.0000 0.5000 0.5000  4 Rh 2.75
Rh: 0.5000 0.0000 0.5000  4 Tc 2.75

***

KTcRh3 after structural relaxation. Source: Alexandria via LeMat-Bulk, functional PBE.

Lattice parameters (Å, degrees): 4.7717 4.7717 4.7717 90.00 90.00 90.00
Closest atoms and distances in Å follow each position.
Element x y z (fractional)
Rh: 0.0000 0.0000 0.5000  2 Tc 2.39
Rh: 0.5000 0.0000 0.0000  2 Tc 2.39
Rh: 0.0000 0.5000 0.0000  2 Tc 2.39
K: 0.5000 0.5000 0.5000  12 Rh 3.37
Tc: 0.0000 0.0000 0.0000  6 Rh 2.39

***

Looking at calculated formation energy for the records above, in order, we have 1.18, 0.88 eV per atom.
Looking at E above lowest polymorph for the records above, in order, we have 593, 0 meV per atom.